Here is a relaxed NaBi crystal from Alexandria via LeMat-Bulk. Energies are from PBE.

Cell: 13.100 13.100 4.365 Å, 90.00 90.00 90.00°
Fractional coordinates of all 16 atoms:
1 Na 0.210 0.047 0.500
2 Bi 0.319 0.205 0.000
3 Bi 0.295 0.819 0.500
4 Na 0.547 0.290 0.000
5 Na 0.710 0.547 0.000
6 Bi 0.205 0.681 0.000
7 Bi 0.705 0.181 0.500
8 Bi 0.819 0.705 0.500
9 Bi 0.795 0.319 0.000
10 Na 0.290 0.453 0.000
11 Na 0.790 0.953 0.500
12 Na 0.953 0.210 0.500
13 Bi 0.181 0.295 0.500
14 Na 0.047 0.790 0.500
15 Bi 0.681 0.795 0.000
16 Na 0.453 0.710 0.000

As for the formation enthalpy at 0 K: -0.16 eV/f.u. The total magnetization is 0.000 μB/atom. The calculation puts the energy above the most stable polymorph in this dataset at 0.2262 eV per atom. The space group is I4/m, No. 87.